# Li2AcCd2In2

An optimized crystal structure of Li2AcCd2In2 (GGA-PBE, Alexandria).

Calculated values
Formation energy from the elements: -0.311 eV/atom
Total magnetic moment: 0.000 μB per formula unit
DOS at the Fermi energy: 4.0 states/eV/f.u.
Crystal system: trigonal

abc: 4.8265 4.8265 26.0139
angles: 90.00 90.00 120.00
Space group R-3m (No. 166, hexagonal axes)
Inequivalent atoms, fractional coordinates:
1 Li 0.0000 0.0000 0.1425 (multiplicity 6)
2 Ac 0.0000 0.0000 0.0000 (multiplicity 3)
3 Cd 0.0000 0.0000 0.4413 (multiplicity 6)
4 In 0.0000 0.0000 0.2548 (multiplicity 6)

# Li2AcCdIn4

An optimized crystal structure of Li2AcCdIn4 (GGA-PBE, Alexandria).

Calculated values
Formation energy from the elements: -0.257 eV/atom
Total magnetic moment: 0.000 μB per formula unit
DOS at the Fermi energy: 4.0 states/eV/f.u.
Crystal system: trigonal

abc: 4.8629 4.8629 29.9116
angles: 90.00 90.00 120.00
Space group R-3m (No. 166, hexagonal axes)
Inequivalent atoms, fractional coordinates:
1 Li 0.0000 0.0000 0.2313 (multiplicity 6)
2 Ac 0.0000 0.0000 0.0000 (multiplicity 3)
3 Cd 0.0000 0.0000 0.5000 (multiplicity 3)
4 In 0.0000 0.0000 0.1203 (multiplicity 6)
5 In 0.0000 0.0000 0.3996 (multiplicity 6)

# AcLuCdIn

An optimized crystal structure of AcLuCdIn (GGA-PBE, Alexandria).

Calculated values
Formation energy from the elements: -0.316 eV/atom
Total magnetic moment: 0.002 μB per formula unit
DOS at the Fermi energy: 3.6 states/eV/f.u.
Crystal system: cubic

abc: 7.8276 7.8276 7.8276
angles: 90.00 90.00 90.00
Space group F-43m (No. 216)
Inequivalent atoms, fractional coordinates:
1 Ac 0.0000 0.0000 0.0000 (multiplicity 4)
2 Lu 0.0000 0.0000 0.5000 (multiplicity 4)
3 Cd 0.2500 0.2500 0.7500 (multiplicity 4)
4 In 0.2500 0.2500 0.2500 (multiplicity 4)

# Ac2Mg4Cd3In

An optimized crystal structure of Ac2Mg4Cd3In (GGA-PBE, Alexandria).

Calculated values
Formation energy from the elements: -0.227 eV/atom
Total magnetic moment: 0.000 μB per formula unit
DOS at the Fermi energy: 8.0 states/eV/f.u.
Crystal system: tetragonal

abc: 4.7509 4.7509 12.2805
angles: 90.00 90.00 90.00
Space group P-4m2 (No. 115)
Inequivalent atoms, fractional coordinates:
1 Ac 0.0000 0.5000 0.2417 (multiplicity 2)
2 Mg 0.0000 0.0000 0.5000 (multiplicity 1)
3 Mg 0.0000 0.5000 0.8680 (multiplicity 2)
4 Mg 0.5000 0.5000 0.5000 (multiplicity 1)
5 Cd 0.0000 0.0000 0.0000 (multiplicity 1)
6 Cd 0.0000 0.5000 0.6407 (multiplicity 2)
7 In 0.5000 0.5000 0.0000 (multiplicity 1)

# Ac2Mg3Cd12In

An optimized crystal structure of Ac2Mg3Cd12In (GGA-PBE, Alexandria).

Calculated values
Formation energy from the elements: -0.054 eV/atom
Total magnetic moment: 0.000 μB per formula unit
DOS at the Fermi energy: 8.4 states/eV/f.u.
Crystal system: trigonal

abc: 6.6838 6.6838 38.2457
angles: 90.00 90.00 120.00
Space group R-3m (No. 166, hexagonal axes)
Inequivalent atoms, fractional coordinates:
1 Ac 0.0000 0.0000 0.1406 (multiplicity 6)
2 Mg 0.0000 0.5000 0.0000 (multiplicity 9)
3 Cd 0.0176 0.5088 0.8897 (multiplicity 18)
4 Cd 0.0387 0.5193 0.6126 (multiplicity 18)
5 In 0.0000 0.0000 0.5000 (multiplicity 3)

# Ac2MgCd3In4

An optimized crystal structure of Ac2MgCd3In4 (GGA-PBE, Alexandria).

Calculated values
Formation energy from the elements: -0.334 eV/atom
Total magnetic moment: 0.000 μB per formula unit
DOS at the Fermi energy: 3.6 states/eV/f.u.
Crystal system: tetragonal

abc: 4.7788 4.7788 12.1823
angles: 90.00 90.00 90.00
Space group P-4m2 (No. 115)
Inequivalent atoms, fractional coordinates:
1 Ac 0.0000 0.5000 0.2491 (multiplicity 2)
2 Mg 0.0000 0.0000 0.5000 (multiplicity 1)
3 Cd 0.0000 0.5000 0.8618 (multiplicity 2)
4 Cd 0.5000 0.5000 0.5000 (multiplicity 1)
5 In 0.0000 0.0000 0.0000 (multiplicity 1)
6 In 0.0000 0.5000 0.6358 (multiplicity 2)
7 In 0.5000 0.5000 0.0000 (multiplicity 1)

# Ac2MgCd4In3

An optimized crystal structure of Ac2MgCd4In3 (GGA-PBE, Alexandria).

Calculated values
Formation energy from the elements: -0.322 eV/atom
Total magnetic moment: 0.000 μB per formula unit
DOS at the Fermi energy: 4.8 states/eV/f.u.
Crystal system: tetragonal

abc: 4.7648 4.7648 12.1647
angles: 90.00 90.00 90.00
Space group P-4m2 (No. 115)
Inequivalent atoms, fractional coordinates:
1 Ac 0.0000 0.5000 0.2440 (multiplicity 2)
2 Mg 0.0000 0.0000 0.5000 (multiplicity 1)
3 Cd 0.0000 0.0000 0.0000 (multiplicity 1)
4 Cd 0.0000 0.5000 0.6349 (multiplicity 2)
5 Cd 0.5000 0.5000 0.0000 (multiplicity 1)
6 In 0.0000 0.5000 0.8625 (multiplicity 2)
7 In 0.5000 0.5000 0.5000 (multiplicity 1)

# AcMgCd2In2

An optimized crystal structure of AcMgCd2In2 (GGA-PBE, Alexandria).

Calculated values
Formation energy from the elements: -0.280 eV/atom
Total magnetic moment: 0.000 μB per formula unit
DOS at the Fermi energy: 2.5 states/eV/f.u.
Crystal system: trigonal

abc: 4.9581 4.9581 7.5889
angles: 90.00 90.00 120.00
Space group P-3m1 (No. 164)
Inequivalent atoms, fractional coordinates:
1 Ac 0.0000 0.0000 0.0000 (multiplicity 1)
2 Mg 0.0000 0.0000 0.5000 (multiplicity 1)
3 Cd 0.3333 0.6667 0.7024 (multiplicity 2)
4 In 0.3333 0.6667 0.2646 (multiplicity 2)